This record from the Alexandria database describes an optimized crystal structure of BaLiPt2. The functional is PBE.

Theoretical density ... 10.37 Mg/m³
E_form ... -0.261 eV/atom

```
4
Lattice="-4.373 1.866 2.124 -2.123 -4.208 2.215 4.851 1.806 0.573" Properties=species:S:1:pos:R:3 pbc="T T T"
Pt -0.260 -1.786 2.479
Pt 0.000 0.000 0.000
Li -1.385 1.251 2.433
Ba -3.248 -1.171 2.169
```

This record from the Alexandria database describes an optimized crystal structure of BaLiPt2. The functional is PBE.

Theoretical density ... 9.14 Mg/m³
E_form ... -0.584 eV/atom

```
4
Lattice="4.554 -0.051 0.061 2.353 3.900 0.061 2.181 1.215 5.469" Properties=species:S:1:pos:R:3 pbc="T T T"
Pt 6.803 3.791 5.193
Ba 4.528 2.524 2.932
Li 2.299 1.281 0.496
Pt 2.183 1.217 5.235
```

This record from the Alexandria database describes an optimized crystal structure of Ba6LiPt. The functional is PBE.

Theoretical density ... 3.89 Mg/m³
E_form ... -0.199 eV/atom

```
8
Lattice="-2.373 7.313 -2.169 2.718 -4.794 -5.783 -7.240 -3.386 1.145" Properties=species:S:1:pos:R:3 pbc="T T T"
Ba -4.277 -2.755 -5.379
Ba -5.122 -1.810 -1.153
Ba -5.979 1.292 -4.171
Ba -1.772 0.942 -5.654
Ba -0.916 -2.160 -2.636
Pt -3.447 -0.434 -3.404
Li 0.000 0.000 0.000
Ba -2.617 1.887 -1.429
```

This record from the Alexandria database describes an optimized crystal structure of Ba3LiPt. The functional is PBE.

Theoretical density ... 4.14 Mg/m³
E_form ... -0.345 eV/atom

```
5
Lattice="-1.589 0.997 5.981 5.664 -1.963 1.832 2.165 5.869 -0.403" Properties=species:S:1:pos:R:3 pbc="T T T"
Li 3.120 2.451 3.705
Ba 2.832 -0.982 0.916
Ba -0.794 0.499 2.991
Pt 0.000 0.000 0.000
Ba 1.082 2.934 -0.202
```

This record from the Alexandria database describes an optimized crystal structure of Ba11LiPt2. The functional is PBE.

Theoretical density ... 3.65 Mg/m³
E_form ... -0.115 eV/atom

```
28
Lattice="12.963 0.000 6.757 5.998 10.875 4.305 1.432 0.014 13.066" Properties=species:S:1:pos:R:3 pbc="T T T"
Ba 11.580 9.936 11.520
Ba 5.543 6.211 12.171
Pt 7.421 3.732 12.374
Ba 14.850 4.677 11.958
Ba 7.314 3.903 15.485
Ba 4.810 2.122 12.664
Ba 17.808 9.334 15.384
Li 5.098 2.722 6.032
Ba 6.345 6.383 5.750
Ba 13.362 7.607 14.814
Ba 11.801 3.335 15.064
Ba 8.897 2.163 5.737
Li 15.295 8.166 18.096
Ba 10.197 5.444 12.064
Ba 2.585 1.554 8.744
Pt 13.059 1.726 17.370
Ba 13.079 6.985 8.643
Ba 8.814 0.953 12.608
Ba 15.584 8.766 11.465
Ba 14.049 4.505 18.378
Ba 11.497 8.726 18.391
Ba 7.032 3.281 9.315
Pt 12.973 7.156 11.755
Pt 7.335 9.162 6.758
Ba 8.592 7.553 9.065
Ba 2.578 0.767 3.876
Ba 17.816 10.121 20.253
Ba 0.000 0.000 0.000
```

This record from the Alexandria database describes an optimized crystal structure of Ba3Li7Pt4. The functional is PBE.

Theoretical density ... 6.59 Mg/m³
E_form ... -0.467 eV/atom

```
14
Lattice="-1.217 -4.241 -0.093 5.052 -3.611 -6.130 6.622 -4.289 4.220" Properties=species:S:1:pos:R:3 pbc="T T T"
Li 7.177 -8.976 1.276
Pt 2.959 -5.401 -1.850
Pt 4.952 -3.766 2.213
Li 5.789 -6.293 1.789
Ba 8.507 -9.290 -1.773
Li 7.306 -6.619 -3.150
Pt 7.498 -6.740 -0.153
Li 4.668 -5.848 -3.792
Li 0.000 0.000 0.000
Ba 1.950 -2.851 -0.230
Ba 5.837 -3.950 -0.955
Pt 5.505 -8.375 -4.216
Li 3.280 -3.165 -3.279
Li 3.151 -5.522 1.146
```

This record from the Alexandria database describes an optimized crystal structure of BaLiPt2. The functional is PBE.

Theoretical density ... 8.51 Mg/m³
E_form ... -0.417 eV/atom

```
4
Lattice="-0.687 4.625 -1.179 -4.041 -0.868 -1.048 -1.442 0.998 4.757" Properties=species:S:1:pos:R:3 pbc="T T T"
Pt -1.924 0.874 4.550
Pt -1.060 2.351 -0.021
Ba -3.173 -0.096 1.472
Li -4.196 2.691 3.141
```

This record from the Alexandria database describes an optimized crystal structure of Ba2Li4Pt. The functional is PBE.

Theoretical density ... 3.64 Mg/m³
E_form ... -0.098 eV/atom

```
7
Lattice="-4.751 -1.650 0.049 1.487 -4.343 -2.055 -0.352 -6.438 7.194" Properties=species:S:1:pos:R:3 pbc="T T T"
Pt 0.000 0.000 0.000
Li -2.923 -6.908 0.173
Li -2.375 -0.825 0.024
Li -0.692 -5.523 5.015
Ba -1.245 -4.037 1.474
Li 0.744 -2.171 -1.028
Ba -2.371 -8.394 3.713
```

This record from the Alexandria database describes an optimized crystal structure of Ba7Li2Pt2. The functional is PBE.

Theoretical density ... 4.53 Mg/m³
E_form ... -0.290 eV/atom

```
11
Lattice="-5.381 4.188 4.568 3.497 -2.748 6.631 5.720 5.220 1.945" Properties=species:S:1:pos:R:3 pbc="T T T"
Li 1.156 0.598 8.178
Pt -2.729 4.898 7.033
Li 2.681 6.061 4.965
Ba 2.304 3.014 11.037
Ba 0.422 -0.336 4.447
Ba 3.361 2.212 5.355
Ba 3.415 6.995 8.696
Pt 6.565 1.761 6.110
Ba 0.476 4.447 7.788
Ba 0.000 0.000 0.000
Ba 1.532 3.644 2.106
```

This record from the Alexandria database describes an optimized crystal structure of BaLiPt3. The functional is PBE.

Theoretical density ... 7.31 Mg/m³
E_form ... 1.286 eV/atom

```
5
Lattice="5.492 0.000 0.000 0.000 5.492 0.000 0.000 0.000 5.492" Properties=species:S:1:pos:R:3 pbc="T T T"
Li 2.746 2.746 2.746
Pt 0.000 2.746 0.000
Pt 0.000 0.000 2.746
Pt 2.746 0.000 0.000
Ba 0.000 0.000 0.000
```

This record from the Alexandria database describes an optimized crystal structure of BaLiPt2. The functional is PBE.

Theoretical density ... 9.95 Mg/m³
E_form ... -0.295 eV/atom

```
4
Lattice="-0.186 -4.387 5.475 -2.742 -0.921 -3.876 1.342 -3.751 -0.054" Properties=species:S:1:pos:R:3 pbc="T T T"
Ba -0.700 -2.336 -1.965
Pt 0.578 -4.069 2.710
Li -1.464 -2.654 0.799
Pt 0.000 0.000 0.000
```

This record from the Alexandria database describes an optimized crystal structure of BaLi2Pt2. The functional is PBE.

Theoretical density ... 9.29 Mg/m³
E_form ... -0.416 eV/atom

```
10
Lattice="-2.883 -7.415 -1.111 6.231 -3.032 4.063 -1.557 0.223 2.555" Properties=species:S:1:pos:R:3 pbc="T T T"
Li 2.743 -2.672 3.667
Pt 4.247 -5.045 3.029
Pt -0.899 -5.402 -0.076
Li 2.905 -7.160 4.157
Pt 1.711 -8.220 1.760
Pt 1.637 -2.227 1.192
Li -0.952 -7.552 1.840
Li -1.115 -3.064 1.350
Ba 1.674 -5.223 1.476
Ba 0.000 0.000 0.000
```